Material: H2WF
Method: DFT, PBE+U
State: relaxed

Cell and atoms, written as extended XYZ:
```
8
Lattice="-3.503 3.503 2.117 3.503 -3.503 2.117 3.503 3.503 -2.117" Properties=species:S:1:pos:R:3 pbc="T T T"
H 0.642 1.751 0.529
H -1.751 2.861 1.588
H -0.642 5.254 0.529
H 1.751 4.145 1.588
W 0.000 0.000 0.000
W 0.000 3.503 1.058
F 3.503 0.000 1.058
F 0.000 0.000 2.117
```

Total DFT energy (no corrections) = -4.37 eV/atom
Magnetic moment = 0.750 μB per atom
SG = I-42d, No. 122
E above lowest polymorph = 0.000 eV/atom